(1)
A geometry-optimized CaSc2Se structure. Source: the Alexandria database, functional GGA-PBE.

The structure in CIF format:
```
data_CaSc2Se
_symmetry_space_group_name_H-M 'P 1'
_symmetry_Int_Tables_number 1
_cell_length_a 6.284
_cell_length_b 6.284
_cell_length_c 3.553
_cell_angle_alpha 106.19
_cell_angle_beta 106.19
_cell_angle_gamma 120.50
loop_
_symmetry_equiv_pos_as_xyz
'x,y,z'
loop_
_atom_site_label
_atom_site_fract_x
_atom_site_fract_y
_atom_site_fract_z
Ca1 0.000 0.000 0.000
Sc1 0.000 0.500 0.500
Sc2 0.500 0.000 0.500
Se1 0.500 0.500 0.000
```

As for the space group: C2/m (12). The calculation puts the formation energy without anion corrections at -0.34 eV per atom.



(2)
A geometry-optimized Pr3GaSi3 structure. Source: the Alexandria database, functional GGA-PBE.

The structure in CIF format:
```
data_Pr3GaSi3
_symmetry_space_group_name_H-M 'P 1'
_symmetry_Int_Tables_number 1
_cell_length_a 9.681
_cell_length_b 9.681
_cell_length_c 9.681
_cell_angle_alpha 156.02
_cell_angle_beta 153.38
_cell_angle_gamma 36.13
loop_
_symmetry_equiv_pos_as_xyz
'x,y,z'
loop_
_atom_site_label
_atom_site_fract_x
_atom_site_fract_y
_atom_site_fract_z
Pr1 0.000 0.000 0.000
Pr2 0.188 0.688 0.500
Pr3 0.369 0.369 0.000
Ga1 0.620 0.120 0.500
Si1 0.541 0.541 0.000
Si2 0.752 0.252 0.500
Si3 0.828 0.828 0.000
```

As for the space group: Imm2 (44). The calculation puts the formation energy without anion corrections at -0.72 eV per atom.



(3)
A geometry-optimized LiZn7Au4 structure. Source: the Alexandria database, functional GGA-PBE.

The structure in CIF format:
```
data_LiZn7Au4
_symmetry_space_group_name_H-M 'P 1'
_symmetry_Int_Tables_number 1
_cell_length_a 6.522
_cell_length_b 6.522
_cell_length_c 9.355
_cell_angle_alpha 123.52
_cell_angle_beta 123.52
_cell_angle_gamma 41.45
loop_
_symmetry_equiv_pos_as_xyz
'x,y,z'
loop_
_atom_site_label
_atom_site_fract_x
_atom_site_fract_y
_atom_site_fract_z
Li1 0.000 0.000 0.000
Zn1 0.069 0.069 0.344
Zn2 0.209 0.209 0.875
Zn3 0.355 0.355 0.424
Zn4 0.500 0.500 0.000
Zn5 0.645 0.645 0.576
Zn6 0.791 0.791 0.125
Zn7 0.931 0.931 0.656
Au1 0.290 0.290 0.668
Au2 0.425 0.425 0.209
Au3 0.575 0.575 0.791
Au4 0.710 0.710 0.332
```

As for the space group: C2/m (12). Its formation energy is -0.125 eV per atom. Its distance to the lowest polymorph of the same formula is 0.87 eV per formula unit.



(4)
A geometry-optimized SiAsCl structure. Source: the Alexandria database, functional GGA-PBE.

The structure in CIF format:
```
data_SiAsCl
_symmetry_space_group_name_H-M 'P 1'
_symmetry_Int_Tables_number 1
_cell_length_a 3.728
_cell_length_b 3.728
_cell_length_c 7.548
_cell_angle_alpha 105.63
_cell_angle_beta 105.63
_cell_angle_gamma 60.01
loop_
_symmetry_equiv_pos_as_xyz
'x,y,z'
loop_
_atom_site_label
_atom_site_fract_x
_atom_site_fract_y
_atom_site_fract_z
Si1 0.000 0.000 0.000
As1 0.612 0.612 0.851
Cl1 0.105 0.105 0.287
```

As for the space group: Cm (8). The calculation puts the formation energy without anion corrections at -0.52 eV per atom. Its distance to the lowest polymorph of the same formula is 0.00 eV per formula unit.



(5)
A geometry-optimized MoAs2Au structure. Source: the Alexandria database, functional GGA-PBE.

The structure in CIF format:
```
data_MoAs2Au
_symmetry_space_group_name_H-M 'P 1'
_symmetry_Int_Tables_number 1
_cell_length_a 6.999
_cell_length_b 6.999
_cell_length_c 6.999
_cell_angle_alpha 130.66
_cell_angle_beta 130.66
_cell_angle_gamma 72.35
loop_
_symmetry_equiv_pos_as_xyz
'x,y,z'
loop_
_atom_site_label
_atom_site_fract_x
_atom_site_fract_y
_atom_site_fract_z
Mo1 0.000 0.000 0.000
Mo2 0.750 0.250 0.500
As1 0.104 0.625 0.979
As2 0.375 0.354 0.479
As3 0.646 0.125 0.021
As4 0.875 0.896 0.521
Au1 0.250 0.750 0.500
Au2 0.500 0.500 0.000
```

As for the space group: I-42d (122). Its formation energy is 0.310 eV per atom. Its distance to the lowest polymorph of the same formula is 1.11 eV per formula unit.



(6)
A geometry-optimized BaMnHg2 structure. Source: the Alexandria database, functional GGA-PBE.

The structure in CIF format:
```
data_BaMnHg2
_symmetry_space_group_name_H-M 'P 1'
_symmetry_Int_Tables_number 1
_cell_length_a 4.789
_cell_length_b 4.789
_cell_length_c 6.645
_cell_angle_alpha 111.02
_cell_angle_beta 111.02
_cell_angle_gamma 59.89
loop_
_symmetry_equiv_pos_as_xyz
'x,y,z'
loop_
_atom_site_label
_atom_site_fract_x
_atom_site_fract_y
_atom_site_fract_z
Ba1 0.000 0.000 0.000
Mn1 0.191 0.191 0.569
Hg1 0.542 0.542 0.624
Hg2 0.799 0.799 0.396
```

As for the space group: Cm (8). Its formation energy is -0.016 eV per atom.



(7)
A geometry-optimized Na3CrMo structure. Source: the Alexandria database, functional GGA-PBE.

The structure in CIF format:
```
data_Na3CrMo
_symmetry_space_group_name_H-M 'P 1'
_symmetry_Int_Tables_number 1
_cell_length_a 5.668
_cell_length_b 5.668
_cell_length_c 5.668
_cell_angle_alpha 90.00
_cell_angle_beta 90.00
_cell_angle_gamma 90.00
loop_
_symmetry_equiv_pos_as_xyz
'x,y,z'
loop_
_atom_site_label
_atom_site_fract_x
_atom_site_fract_y
_atom_site_fract_z
Na1 0.000 0.000 0.500
Na2 0.000 0.500 0.000
Na3 0.500 0.000 0.000
Cr1 0.000 0.000 0.000
Mo1 0.500 0.500 0.500
```

As for the space group: Pm-3m (221). Its formation energy is 1.638 eV per atom. Its distance to the lowest polymorph of the same formula is 0.00 eV per formula unit.



(8)
A geometry-optimized Cs2RhI6Cl structure. Source: the Alexandria database, functional GGA-PBE.

The structure in CIF format:
```
data_Cs2RhI6Cl
_symmetry_space_group_name_H-M 'P 1'
_symmetry_Int_Tables_number 1
_cell_length_a 8.339
_cell_length_b 8.339
_cell_length_c 8.339
_cell_angle_alpha 116.52
_cell_angle_beta 116.52
_cell_angle_gamma 96.13
loop_
_symmetry_equiv_pos_as_xyz
'x,y,z'
loop_
_atom_site_label
_atom_site_fract_x
_atom_site_fract_y
_atom_site_fract_z
Cs1 0.250 0.750 0.500
Cs2 0.750 0.250 0.500
Rh1 0.000 0.000 0.000
I1 0.215 0.215 0.430
I2 0.215 0.785 0.000
I3 0.252 0.252 0.000
I4 0.748 0.748 0.000
I5 0.785 0.215 0.000
I6 0.785 0.785 0.570
Cl1 0.500 0.500 0.000
```

As for the space group: I4/mmm (139). The calculation puts the formation energy without anion corrections at -0.67 eV per atom.



(9)
A geometry-optimized Tb3Hg4Au2 structure. Source: the Alexandria database, functional GGA-PBE.

The structure in CIF format:
```
data_Tb3Hg4Au2
_symmetry_space_group_name_H-M 'P 1'
_symmetry_Int_Tables_number 1
_cell_length_a 9.173
_cell_length_b 9.173
_cell_length_c 5.345
_cell_angle_alpha 97.99
_cell_angle_beta 97.99
_cell_angle_gamma 77.86
loop_
_symmetry_equiv_pos_as_xyz
'x,y,z'
loop_
_atom_site_label
_atom_site_fract_x
_atom_site_fract_y
_atom_site_fract_z
Tb1 0.116 0.884 0.750
Tb2 0.198 0.460 0.920
Tb3 0.460 0.198 0.420
Tb4 0.540 0.802 0.580
Tb5 0.802 0.540 0.080
Tb6 0.884 0.116 0.250
Hg1 0.101 0.336 0.365
Hg2 0.317 0.570 0.474
Hg3 0.336 0.101 0.865
Hg4 0.430 0.683 0.026
Hg5 0.570 0.317 0.974
Hg6 0.664 0.899 0.135
Hg7 0.683 0.430 0.526
Hg8 0.899 0.664 0.635
Au1 0.022 0.760 0.190
Au2 0.240 0.978 0.310
Au3 0.760 0.022 0.690
Au4 0.978 0.240 0.810
```

As for the space group: C2/c (15). Its formation energy is -0.527 eV per atom.



(10)
A geometry-optimized Pr2CdPb structure. Source: the Alexandria database, functional GGA-PBE.

The structure in CIF format:
```
data_Pr2CdPb
_symmetry_space_group_name_H-M 'P 1'
_symmetry_Int_Tables_number 1
_cell_length_a 5.242
_cell_length_b 5.242
_cell_length_c 4.370
_cell_angle_alpha 90.00
_cell_angle_beta 90.00
_cell_angle_gamma 90.00
loop_
_symmetry_equiv_pos_as_xyz
'x,y,z'
loop_
_atom_site_label
_atom_site_fract_x
_atom_site_fract_y
_atom_site_fract_z
Pr1 0.000 0.500 0.000
Pr2 0.500 0.000 0.000
Cd1 0.000 0.000 0.500
Pb1 0.500 0.500 0.500
```

As for the space group: P4/mmm (123). Its formation energy is -0.447 eV per atom. Its distance to the lowest polymorph of the same formula is 0.00 eV per formula unit.



(11)
A geometry-optimized Al2FePt8 structure. Source: the Alexandria database, functional GGA-PBE.

The structure in CIF format:
```
data_Al2FePt8
_symmetry_space_group_name_H-M 'P 1'
_symmetry_Int_Tables_number 1
_cell_length_a 7.235
_cell_length_b 7.235
_cell_length_c 6.260
_cell_angle_alpha 107.24
_cell_angle_beta 107.24
_cell_angle_gamma 32.21
loop_
_symmetry_equiv_pos_as_xyz
'x,y,z'
loop_
_atom_site_label
_atom_site_fract_x
_atom_site_fract_y
_atom_site_fract_z
Al1 0.220 0.220 0.151
Al2 0.780 0.780 0.849
Fe1 0.500 0.500 0.500
Pt1 0.044 0.044 0.230
Pt2 0.148 0.148 0.709
Pt3 0.323 0.323 0.569
Pt4 0.399 0.399 0.040
Pt5 0.601 0.601 0.960
Pt6 0.677 0.677 0.431
Pt7 0.852 0.852 0.291
Pt8 0.956 0.956 0.770
```

As for the space group: C2/m (12). Its formation energy is -0.505 eV per atom.



(12)
A geometry-optimized Rb2AuI6F structure. Source: the Alexandria database, functional GGA-PBE.

The structure in CIF format:
```
data_Rb2AuI6F
_symmetry_space_group_name_H-M 'P 1'
_symmetry_Int_Tables_number 1
_cell_length_a 8.021
_cell_length_b 8.021
_cell_length_c 8.021
_cell_angle_alpha 119.93
_cell_angle_beta 119.93
_cell_angle_gamma 90.12
loop_
_symmetry_equiv_pos_as_xyz
'x,y,z'
loop_
_atom_site_label
_atom_site_fract_x
_atom_site_fract_y
_atom_site_fract_z
Rb1 0.250 0.750 0.500
Rb2 0.750 0.250 0.500
Au1 0.000 0.000 0.000
I1 0.245 0.245 0.000
I2 0.245 0.245 0.489
I3 0.245 0.755 0.000
I4 0.755 0.245 0.000
I5 0.755 0.755 0.000
I6 0.755 0.755 0.511
F1 0.500 0.500 0.000
```

As for the space group: I4/mmm (139). The calculation puts the formation energy without anion corrections at -0.73 eV per atom.



no.,DOS(E_F) (states/eV/atom)
1,1.127
2,0.708
3,0.268
4,0.000
5,0.882
6,0.978
7,0.715
8,1.691
9,0.475
10,0.722
11,0.835
12,0.088